[1]
DFT (GGA-PBE) results for crystalline NaLa2CdCo at its relaxed geometry.

Properties
Its calculated volume is 29.68 Å³/atom. For the magnetic moment, the calculation gives 0.00 μB per atom. The calculation puts the formation energy at 1.2 meV/atom. As for the density of states at the Fermi level: 2.9 states/eV/f.u. The crystal system is tetragonal. As for the space group: P4/mmm (123).

The structure in POSCAR format:
```
NaLa2CdCo
1.0
5.1511 0.0000 0.0000
0.0000 5.1511 0.0000
0.0000 0.0000 5.5925
Na Cd Co La
1 1 1 2
direct
0.0000 0.0000 0.5000
0.5000 0.5000 0.5000
0.0000 0.0000 0.0000
0.0000 0.5000 0.0000
0.5000 0.0000 0.0000
```


[2]
DFT (GGA-PBE) results for crystalline LaHoMgHg at its relaxed geometry.

Properties
Its calculated volume is 28.17 Å³/atom. For the magnetic moment, the calculation gives 0.00 μB per atom. The calculation puts the formation energy at -285.5 meV/atom. As for the density of states at the Fermi level: 4.6 states/eV/f.u. The crystal system is tetragonal. As for the space group: P4mm (99).

The structure in POSCAR format:
```
LaHoMgHg
1.0
-3.4658 1.5431 -0.0521
-0.7318 -1.5290 3.3945
2.8051 6.4182 3.4958
La Ho Mg Hg
1 1 1 1
direct
0.0000 0.0000 0.8574
0.0000 0.0000 0.3485
0.5000 0.5000 0.5855
0.5000 0.5000 0.1366
```


[3]
DFT (GGA-PBE) results for crystalline AsRhS2 at its relaxed geometry.

Properties
Its calculated volume is 21.39 Å³/atom. For the magnetic moment, the calculation gives 0.00 μB per atom. As for the density of states at the Fermi level: 2.6 states/eV/f.u. As for the calculated total energy: -39.777 eV per cell. The crystal system is tetragonal. As for the space group: I-42d (122).

The structure in POSCAR format:
```
AsRhS2
1.0
5.5558 0.0000 0.0000
0.0000 5.5558 0.0000
2.7779 2.7779 5.5428
As Rh S
2 2 4
direct
0.5000 0.5000 0.0000
0.2500 0.7500 0.5000
0.0000 0.0000 0.0000
0.7500 0.2500 0.5000
0.6626 0.1250 0.2500
0.0874 0.6250 0.2500
0.3750 0.3374 0.7500
0.8750 0.9126 0.7500
```


[4]
DFT (GGA-PBE) results for crystalline GaPd2IBr at its relaxed geometry.

Properties
Its calculated volume is 28.14 Å³/atom. For the magnetic moment, the calculation gives 0.00 μB per atom. As for the density of states at the Fermi level: 3.9 states/eV/f.u. As for the calculated total energy: -15.175 eV per cell. The crystal system is tetragonal. As for the space group: P4/mmm (123).

The structure in POSCAR format:
```
GaPd2IBr
1.0
-4.0752 0.0082 2.6463
0.6227 -5.8449 0.9770
2.5971 0.9447 3.9966
I Ga Br Pd
1 1 1 2
direct
0.5000 0.5000 0.5000
0.0000 0.5000 0.0000
0.0000 0.0000 0.0000
0.0000 0.0000 0.5000
0.5000 0.0000 0.0000
```


[5]
DFT (GGA-PBE) results for crystalline Na3SiF6 at its relaxed geometry.

Properties
Its calculated volume is 14.99 Å³/atom. For the magnetic moment, the calculation gives 0.00 μB per atom. As for the density of states at the Fermi level: 1.4 states/eV/f.u. As for the calculated total energy: -47.192 eV per cell. The crystal system is orthorhombic. As for the space group: Fmmm (69).

The structure in POSCAR format:
```
Na3SiF6
1.0
-2.1340 -4.8443 0.0193
4.9980 -1.5767 -0.7450
-0.7290 2.9220 5.6897
Na Si F
3 1 6
direct
0.7500 0.2500 0.5000
0.5000 0.5000 0.0000
0.2500 0.7500 0.5000
0.0000 0.0000 0.0000
0.7103 0.7103 0.7727
0.9376 0.9376 0.2273
0.0624 0.0624 0.7727
0.2897 0.2897 0.2273
0.7826 0.2174 0.0000
0.2174 0.7826 0.0000
```


[6]
DFT (GGA-PBE) results for crystalline TaV3S at its relaxed geometry.

Properties
Its calculated volume is 20.00 Å³/atom. For the magnetic moment, the calculation gives 0.00 μB per atom. As for the density of states at the Fermi level: 6.5 states/eV/f.u. As for the calculated total energy: -35.116 eV per cell. The crystal system is cubic. As for the space group: Pm-3m (221).

The structure in POSCAR format:
```
TaV3S
1.0
-1.5150 -4.3532 0.5467
3.2424 -0.7212 3.2422
-2.9558 1.4401 3.2763
S Ta V
1 1 3
direct
0.5000 0.5000 0.5000
0.0000 0.0000 0.0000
0.0000 0.5000 0.0000
0.0000 0.0000 0.5000
0.5000 0.0000 0.0000
```